1.
VASP calculation (PBE) on a relaxed Cd3In2I8 crystal.

Properties
Symmetry: No. 12
Formation energy without anion corrections: -0.51 eV per atom
Density of states at the Fermi level: 0.0 states/eV per cell

abc: 7.750 8.793 9.568
angles: 117.37 105.60 89.99
Fractional positions:
Cd (0.500, 0.000, 0.000)
Cd (0.000, 0.259, 0.000)
Cd (0.000, 0.741, 0.000)
In (0.667, 0.742, 0.484)
In (0.333, 0.258, 0.516)
I (0.060, 0.389, 0.777)
I (0.940, 0.611, 0.223)
I (0.095, 0.896, 0.792)
I (0.905, 0.104, 0.208)
I (0.398, 0.865, 0.208)
I (0.398, 0.343, 0.208)
I (0.602, 0.657, 0.792)
I (0.602, 0.135, 0.792)

=====

2.
VASP calculation (PBE) on a relaxed CsCaP2S crystal.

Properties
Symmetry: No. 123
Formation energy without anion corrections: 1.02 eV per atom
Density of states at the Fermi level: 7.1 states/eV per cell

abc: 5.505 5.505 5.312
angles: 90.00 90.00 90.00
Fractional positions:
Cs (0.000, 0.000, 0.000)
P (0.000, 0.500, 0.000)
P (0.500, 0.000, 0.000)
Ca (0.500, 0.500, 0.500)
S (0.000, 0.000, 0.500)

=====

3.
VASP calculation (PBE) on a relaxed FeP2Pb crystal.

Properties
Symmetry: No. 99
DFT formation energy: 73 kJ/mol of formula units
Density of states at the Fermi level: 2.3 states/eV per cell

abc: 3.059 3.059 7.557
angles: 90.00 90.00 90.02
Fractional positions:
Fe (0.500, 0.500, 0.842)
P (0.000, 0.000, 0.965)
P (0.500, 0.500, 0.144)
Pb (0.000, 0.000, 0.549)

=====

4.
VASP calculation (PBE) on a relaxed HoGaHgPt crystal.

Properties
Symmetry: No. 216
DFT formation energy: -229 kJ/mol of formula units
Density of states at the Fermi level: 1.9 states/eV per cell

abc: 4.850 4.850 4.850
angles: 60.00 60.00 60.00
Fractional positions:
Ga (0.000, 0.000, 0.000)
Hg (0.250, 0.250, 0.250)
Pt (0.750, 0.750, 0.750)
Ho (0.500, 0.500, 0.500)